1.
Here is crystalline Na3Sm3SbS8 at its relaxed geometry from Alexandria. Energies are from PBE-GGA.

Lattice parameters (Å, degrees): 8.0747 8.0747 20.2056 90.00 90.00 120.00
Space group R-3m (No. 166, hexagonal axes)
One atom of each set of equivalent atoms:
1 Na 0.0000 0.5000 0.0000 [9 per cell]
2 Sm 0.0000 0.5000 0.5000 [9 per cell]
3 Sb 0.0000 0.0000 0.5000 [3 per cell]
4 S 0.0000 0.0000 0.2433 [6 per cell]
5 S 0.0181 0.5090 0.2404 [18 per cell]

Computed properties:
The calculation puts the uncorrected formation energy at -1.4689 eV per atom.

2.
Here is crystalline TbPaMnTc at its relaxed geometry from Alexandria. Energies are from PBE-GGA.

Lattice parameters (Å, degrees): 6.8493 6.8493 6.8493 90.00 90.00 90.00
Space group F-43m (No. 216)
One atom of each set of equivalent atoms:
1 Tb 0.0000 0.0000 0.0000 [4 per cell]
2 Pa 0.0000 0.0000 0.5000 [4 per cell]
3 Mn 0.2500 0.2500 0.2500 [4 per cell]
4 Tc 0.2500 0.2500 0.7500 [4 per cell]

Computed properties:
As for the energy of formation: 0.066 eV/atom.

3.
Here is crystalline RbSnTeI2 at its relaxed geometry from Alexandria. Energies are from PBE-GGA.

Lattice parameters (Å, degrees): 6.4734 6.4734 6.5025 90.00 90.00 90.00
Space group P4/mmm (No. 123)
One atom of each set of equivalent atoms:
1 Rb 0.0000 0.0000 0.0000 [1 per cell]
2 Sn 0.5000 0.5000 0.5000 [1 per cell]
3 Te 0.0000 0.0000 0.5000 [1 per cell]
4 I 0.0000 0.5000 0.0000 [2 per cell]

Computed properties:
The calculation puts the uncorrected formation energy at 0.3102 eV per atom.

4.
Here is crystalline Tb6NdDy8 at its relaxed geometry from Alexandria. Energies are from PBE-GGA.

Lattice parameters (Å, degrees): 9.0432 9.0432 20.5944 90.00 90.00 120.00
Space group R-3 (No. 148, hexagonal axes)
One atom of each set of equivalent atoms:
1 Tb 0.0599 0.8143 0.2077 [18 per cell]
2 Nd 0.0000 0.0000 0.5000 [3 per cell]
3 Dy 0.0000 0.0000 0.0766 [6 per cell]
4 Dy 0.0808 0.5284 0.3081 [18 per cell]

Computed properties:
As for the energy of formation: 0.130 eV/atom.

5.
Here is crystalline ScCd4Sb2 at its relaxed geometry from Alexandria. Energies are from PBE-GGA.

Lattice parameters (Å, degrees): 5.6125 5.6125 14.8513 90.00 90.00 90.00
Space group I4/mmm (No. 139)
One atom of each set of equivalent atoms:
1 Sc 0.0000 0.0000 0.0000 [2 per cell]
2 Cd 0.0000 0.0000 0.1994 [4 per cell]
3 Cd 0.0000 0.5000 0.0000 [4 per cell]
4 Sb 0.0000 0.0000 0.3971 [4 per cell]

Computed properties:
The calculation puts the uncorrected formation energy at 0.3982 eV per atom.

6.
Here is crystalline Sc2TaCo at its relaxed geometry from Alexandria. Energies are from PBE-GGA.

Lattice parameters (Å, degrees): 3.4227 4.4935 4.5743 90.00 90.00 90.00
Space group Pmmm (No. 47)
One atom of each set of equivalent atoms:
1 Sc 0.0000 0.0000 0.0000 [1 per cell]
2 Sc 0.5000 0.0000 0.5000 [1 per cell]
3 Ta 0.0000 0.5000 0.5000 [1 per cell]
4 Co 0.5000 0.5000 0.0000 [1 per cell]

Computed properties:
As for the energy of formation: 0.204 eV/atom.

7.
Here is crystalline TlFeTeW at its relaxed geometry from Alexandria. Energies are from PBE-GGA.

Lattice parameters (Å, degrees): 6.7768 3.9254 7.2728 90.00 108.24 90.00
Space group Cm (No. 8)
One atom of each set of equivalent atoms:
1 Tl 0.0000 0.0000 0.0000 [2 per cell]
2 Fe 0.4633 0.0000 0.3947 [2 per cell]
3 Te 0.1911 0.0000 0.5778 [2 per cell]
4 W 0.2643 0.5000 0.2981 [2 per cell]

Computed properties:
The calculation puts the uncorrected formation energy at 0.4034 eV per atom.

8.
Here is crystalline LiSb2Se at its relaxed geometry from Alexandria. Energies are from PBE-GGA.

Lattice parameters (Å, degrees): 6.1960 6.1960 12.9530 90.00 90.00 90.00
Space group I-42d (No. 122)
One atom of each set of equivalent atoms:
1 Li 0.0000 0.0000 0.0000 [4 per cell]
2 Sb 0.2268 0.2500 0.1250 [8 per cell]
3 Se 0.0000 0.0000 0.5000 [4 per cell]

Computed properties:
The calculation puts the uncorrected formation energy at 0.1264 eV per atom.

9.
Here is crystalline CeZn9Rh2 at its relaxed geometry from Alexandria. Energies are from PBE-GGA.

Lattice parameters (Å, degrees): 8.7553 8.7553 2.9310 90.00 90.00 120.00
Space group P6/mmm (No. 191)
One atom of each set of equivalent atoms:
1 Ce 0.0000 0.0000 0.0000 [1 per cell]
2 Zn 0.0000 0.5000 0.0000 [3 per cell]
3 Zn 0.1871 0.3742 0.5000 [6 per cell]
4 Rh 0.3333 0.6667 0.0000 [2 per cell]

Computed properties:
As for the energy of formation: -0.249 eV/atom.

10.
Here is crystalline BiAuN2F at its relaxed geometry from Alexandria. Energies are from PBE-GGA.

Lattice parameters (Å, degrees): 4.1587 4.1587 4.2751 90.00 90.00 90.00
Space group P4/mmm (No. 123)
One atom of each set of equivalent atoms:
1 Bi 0.0000 0.0000 0.0000 [1 per cell]
2 Au 0.5000 0.5000 0.5000 [1 per cell]
3 N 0.0000 0.5000 0.5000 [2 per cell]
4 F 0.5000 0.5000 0.0000 [1 per cell]

Computed properties:
The calculation puts the uncorrected formation energy at 0.9868 eV per atom.

11.
Here is crystalline CaTaOs2 at its relaxed geometry from Alexandria. Energies are from PBE-GGA.

Lattice parameters (Å, degrees): 3.2684 4.7771 9.0336 90.00 90.00 90.00
Space group Cmmm (No. 65)
One atom of each set of equivalent atoms:
1 Ca 0.0000 0.0000 0.0000 [2 per cell]
2 Ta 0.0000 0.0000 0.5000 [2 per cell]
3 Os 0.0000 0.5000 0.2723 [4 per cell]

Computed properties:
As for the energy of formation: 0.320 eV/atom.

12.
Here is crystalline Sr2Pa3Te8 at its relaxed geometry from Alexandria. Energies are from PBE-GGA.

Lattice parameters (Å, degrees): 10.7280 15.9756 5.3522 90.00 90.00 90.00
Space group Cmmm (No. 65)
One atom of each set of equivalent atoms:
1 Sr 0.0000 0.2366 0.0000 [4 per cell]
2 Pa 0.0000 0.5000 0.0000 [2 per cell]
3 Pa 0.2343 0.0000 0.5000 [4 per cell]
4 Te 0.0000 0.1163 0.5000 [4 per cell]
5 Te 0.0000 0.3920 0.5000 [4 per cell]
6 Te 0.2366 0.3861 0.0000 [8 per cell]

Computed properties:
The calculation puts the uncorrected formation energy at -1.0363 eV per atom.

13.
Here is crystalline EuThPd at its relaxed geometry from Alexandria. Energies are from PBE-GGA.

Lattice parameters (Å, degrees): 3.7221 3.7221 12.4120 90.00 90.00 90.00
Space group I4mm (No. 107)
One atom of each set of equivalent atoms:
1 Eu 0.0000 0.0000 0.0000 [2 per cell]
2 Th 0.0000 0.0000 0.2824 [2 per cell]
3 Pd 0.0000 0.0000 0.6698 [2 per cell]

Computed properties:
As for the energy of formation: -0.380 eV/atom.

14.
Here is crystalline Ba2SrCd at its relaxed geometry from Alexandria. Energies are from PBE-GGA.

Lattice parameters (Å, degrees): 4.8469 4.9327 17.3073 90.00 90.00 90.00
Space group Amm2 (No. 38)
One atom of each set of equivalent atoms:
1 Ba 0.0000 0.0000 0.0000 [2 per cell]
2 Ba 0.5000 0.0000 0.3495 [2 per cell]
3 Sr 0.5000 0.0000 0.6451 [2 per cell]
4 Cd 0.0000 0.0000 0.7871 [2 per cell]

Computed properties:
As for the energy of formation: -0.086 eV/atom.

15.
Here is crystalline ScZn2HPd at its relaxed geometry from Alexandria. Energies are from PBE-GGA.

Lattice parameters (Å, degrees): 4.0725 4.0725 4.1156 90.00 90.00 90.00
Space group P4/mmm (No. 123)
One atom of each set of equivalent atoms:
1 Sc 0.0000 0.0000 0.0000 [1 per cell]
2 Zn 0.0000 0.5000 0.5000 [2 per cell]
3 H 0.0000 0.0000 0.5000 [1 per cell]
4 Pd 0.5000 0.5000 0.0000 [1 per cell]

Computed properties:
The value obtained for the total energy is -19.1 eV/cell.

16.
Here is crystalline Sb5P2Pd12 at its relaxed geometry from Alexandria. Energies are from PBE-GGA.

Lattice parameters (Å, degrees): 17.0226 5.8376 7.8470 90.00 114.26 90.00
Space group C2/m (No. 12)
One atom of each set of equivalent atoms:
1 Sb 0.0000 0.0000 0.0000 [2 per cell]
2 Sb 0.2068 0.5000 0.3389 [4 per cell]
3 Sb 0.2217 0.5000 0.8584 [4 per cell]
4 P 0.0000 0.3177 0.5000 [4 per cell]
5 Pd 0.0270 0.5000 0.2113 [4 per cell]
6 Pd 0.0332 0.0000 0.6984 [4 per cell]
7 Pd 0.1336 0.2574 0.0215 [8 per cell]
8 Pd 0.1438 0.2472 0.5440 [8 per cell]

Computed properties:
The calculation puts the uncorrected formation energy at -0.3359 eV per atom.

17.
Here is crystalline TmNi5Ge2 at its relaxed geometry from Alexandria. Energies are from PBE-GGA.

Lattice parameters (Å, degrees): 3.5906 6.7029 9.2872 90.00 90.00 90.00
Space group Immm (No. 71)
One atom of each set of equivalent atoms:
1 Tm 0.0000 0.0000 0.0000 [2 per cell]
2 Ni 0.0000 0.1889 0.3610 [8 per cell]
3 Ni 0.0000 0.5000 0.0000 [2 per cell]
4 Ge 0.0000 0.5000 0.2506 [4 per cell]

Computed properties:
As for the energy of formation: -0.442 eV/atom.

18.
Here is crystalline Ba2Ag at its relaxed geometry from Alexandria. Energies are from PBE-GGA.

Lattice parameters (Å, degrees): 16.1377 16.1377 16.1377 90.00 90.00 90.00
Space group Fd-3m (No. 227, origin choice 2)
One atom of each set of equivalent atoms:
1 Ba 0.0000 0.0000 0.0000 [16 per cell]
2 Ba 0.0620 0.3750 0.8750 [48 per cell]
3 Ag 0.0260 0.0260 0.2240 [32 per cell]

Computed properties:
As for the energy of formation: -0.123 eV/atom.

19.
Here is crystalline Ba2Mg5In2 at its relaxed geometry from Alexandria. Energies are from PBE-GGA.

Lattice parameters (Å, degrees): 5.0700 5.0700 11.1269 90.00 90.00 90.00
Space group P4/mmm (No. 123)
One atom of each set of equivalent atoms:
1 Ba 0.0000 0.0000 0.0000 [1 per cell]
2 Ba 0.0000 0.0000 0.5000 [1 per cell]
3 Mg 0.0000 0.5000 0.2292 [4 per cell]
4 Mg 0.5000 0.5000 0.0000 [1 per cell]
5 In 0.5000 0.5000 0.3678 [2 per cell]

Computed properties:
As for the energy of formation: -0.093 eV/atom.

20.
Here is crystalline ZrPtCl2 at its relaxed geometry from Alexandria. Energies are from PBE-GGA.

Lattice parameters (Å, degrees): 3.2200 3.2200 25.4153 90.00 90.00 120.00
Space group R-3m (No. 166, hexagonal axes)
One atom of each set of equivalent atoms:
1 Zr 0.0000 0.0000 0.0000 [3 per cell]
2 Pt 0.0000 0.0000 0.5000 [3 per cell]
3 Cl 0.0000 0.0000 0.4062 [6 per cell]

Computed properties:
The calculation puts the uncorrected formation energy at -0.5866 eV per atom.

21.
Here is crystalline LiMgIr2 at its relaxed geometry from Alexandria. Energies are from PBE-GGA.

Lattice parameters (Å, degrees): 4.3585 4.3585 6.1141 90.00 90.00 90.00
Space group I-4m2 (No. 119)
One atom of each set of equivalent atoms:
1 Li 0.0000 0.0000 0.0000 [2 per cell]
2 Mg 0.0000 0.5000 0.7500 [2 per cell]
3 Ir 0.0000 0.0000 0.5000 [2 per cell]
4 Ir 0.0000 0.5000 0.2500 [2 per cell]

Computed properties:
As for the energy of formation: -0.149 eV/atom.

22.
Here is crystalline VZn6 at its relaxed geometry from Alexandria. Energies are from PBE-GGA.

Lattice parameters (Å, degrees): 6.8151 6.8151 6.8151 90.00 90.00 90.00
Space group Im-3m (No. 229)
One atom of each set of equivalent atoms:
1 V 0.0000 0.0000 0.0000 [2 per cell]
2 Zn 0.0000 0.2500 0.5000 [12 per cell]

Computed properties:
As for the energy of formation: 0.821 eV/atom.

23.
Here is crystalline Sm2ThOs at its relaxed geometry from Alexandria. Energies are from PBE-GGA.

Lattice parameters (Å, degrees): 3.9567 12.3101 9.5549 90.00 90.00 90.00
Space group Cmcm (No. 63)
One atom of each set of equivalent atoms:
1 Sm 0.0000 0.1443 0.0699 [8 per cell]
2 Th 0.0000 0.4182 0.2500 [4 per cell]
3 Os 0.0000 0.2361 0.7500 [4 per cell]

Computed properties:
As for the energy of formation: -0.158 eV/atom.

24.
Here is crystalline Ac2Ge2Ru2N at its relaxed geometry from Alexandria. Energies are from PBE-GGA.

Lattice parameters (Å, degrees): 11.7615 4.1789 7.4373 90.00 126.42 90.00
Space group C2/m (No. 12)
One atom of each set of equivalent atoms:
1 Ac 0.0574 0.0000 0.2983 [4 per cell]
2 Ge 0.1800 0.5000 0.7282 [4 per cell]
3 Ru 0.1871 0.5000 0.0716 [4 per cell]
4 N 0.0000 0.5000 0.0000 [2 per cell]

Computed properties:
The calculation puts the uncorrected formation energy at -0.6757 eV per atom.

Number 1: DOS at the Fermi energy 4.49 states/eV/cell. Number 2: DOS at the Fermi energy 15.94 states/eV/cell. Number 3: DOS at the Fermi energy 4.47 states/eV/cell. Number 4: DOS at the Fermi energy 66.20 states/eV/cell. Number 5: DOS at the Fermi energy 11.50 states/eV/cell. Number 6: DOS at the Fermi energy 5.79 states/eV/cell. Number 7: DOS at the Fermi energy 3.09 states/eV/cell. Number 8: DOS at the Fermi energy 17.13 states/eV/cell. Number 9: DOS at the Fermi energy 6.28 states/eV/cell. Number 10: DOS at the Fermi energy 2.97 states/eV/cell. Number 11: DOS at the Fermi energy 9.00 states/eV/cell. Number 12: DOS at the Fermi energy 13.87 states/eV/cell. Number 13: DOS at the Fermi energy 6.47 states/eV/cell. Number 14: DOS at the Fermi energy 8.14 states/eV/cell. Number 15: DOS at the Fermi energy 1.99 states/eV/cell. Number 16: DOS at the Fermi energy 18.71 states/eV/cell. Number 17: DOS at the Fermi energy 9.94 states/eV/cell. Number 18: DOS at the Fermi energy 89.87 states/eV/cell. Number 19: DOS at the Fermi energy 7.49 states/eV/cell. Number 20: DOS at the Fermi energy 9.53 states/eV/cell. Number 21: DOS at the Fermi energy 9.44 states/eV/cell. Number 22: DOS at the Fermi energy 16.24 states/eV/cell. Number 23: DOS at the Fermi energy 20.18 states/eV/cell. Number 24: DOS at the Fermi energy 7.75 states/eV/cell.